Version A
Computed, not measured: crystalline BaTlB2 at its relaxed geometry at the PBE-GGA level of DFT.

abc: 8.636 8.636 8.636
angles: 147.53 147.53 46.58
Positions (direct):
Ba 0.375 0.625 0.750
Ba 0.625 0.375 0.250
Tl 0.125 0.875 0.250
Tl 0.875 0.125 0.750
B 0.000 0.000 0.000
B 0.000 0.000 0.500
B 0.000 0.500 0.000
B 0.500 0.000 0.500

Version B
Computed, not measured: crystalline BaTlB2 at its relaxed geometry at the PBE-GGA level of DFT.

abc: 4.933 4.933 4.933
angles: 60.00 60.00 60.00
Positions (direct):
Ba 0.000 0.000 0.000
Tl 0.500 0.500 0.500
B 0.250 0.250 0.250
B 0.750 0.750 0.750

Most stable: version A (next structure +0.243 eV/atom)

Version A
Computed, not measured: crystalline BaVB3 at its relaxed geometry at the PBE-GGA level of DFT.

abc: 4.296 4.296 4.296
angles: 90.00 90.00 90.00
Positions (direct):
Ba 0.000 0.000 0.000
V 0.500 0.500 0.500
B 0.000 0.500 0.500
B 0.500 0.000 0.500
B 0.500 0.500 0.000

Version B
Computed, not measured: crystalline BaVB3 at its relaxed geometry at the PBE-GGA level of DFT.

abc: 4.720 4.720 4.720
angles: 90.00 90.00 90.00
Positions (direct):
Ba 0.000 0.000 0.000
V 0.500 0.500 0.500
B 0.000 0.000 0.500
B 0.000 0.500 0.000
B 0.500 0.000 0.000

Most stable: version A (next structure +2.413 eV/atom)

Version A
Computed, not measured: crystalline Ba2B2W at its relaxed geometry at the PBE-GGA level of DFT.

abc: 5.386 5.386 5.386
angles: 110.25 110.25 107.93
Positions (direct):
Ba 0.250 0.750 0.500
Ba 0.750 0.250 0.500
B 0.133 0.133 0.000
B 0.867 0.867 0.000
W 0.500 0.500 0.000

Version B
Computed, not measured: crystalline Ba2B2W at its relaxed geometry at the PBE-GGA level of DFT.

abc: 6.450 6.450 5.426
angles: 90.00 90.00 90.00
Positions (direct):
Ba 0.174 0.326 0.000
Ba 0.326 0.826 0.000
Ba 0.674 0.174 0.000
Ba 0.826 0.674 0.000
B 0.214 0.714 0.500
B 0.286 0.214 0.500
B 0.714 0.786 0.500
B 0.786 0.286 0.500
W 0.000 0.000 0.500
W 0.500 0.500 0.500

Most stable: version B (next structure +0.021 eV/atom)

Version A
Computed, not measured: crystalline BaBW3 at its relaxed geometry at the PBE-GGA level of DFT.

abc: 4.493 4.493 4.493
angles: 90.00 90.00 90.00
Positions (direct):
Ba 0.000 0.000 0.000
B 0.500 0.500 0.500
W 0.000 0.500 0.500
W 0.500 0.000 0.500
W 0.500 0.500 0.000

Version B
Computed, not measured: crystalline BaBW3 at its relaxed geometry at the PBE-GGA level of DFT.

abc: 5.016 5.016 5.016
angles: 90.00 90.00 90.00
Positions (direct):
Ba 0.000 0.000 0.000
B 0.500 0.500 0.500
W 0.000 0.000 0.500
W 0.000 0.500 0.000
W 0.500 0.000 0.000

Most stable: version A (next structure +3.482 eV/atom)

Version A
Computed, not measured: crystalline BaYB2 at its relaxed geometry at the PBE-GGA level of DFT.

abc: 4.914 4.914 4.914
angles: 60.00 60.00 60.00
Positions (direct):
Ba 0.000 0.000 0.000
Y 0.500 0.500 0.500
B 0.250 0.250 0.250
B 0.750 0.750 0.750

Version B
Computed, not measured: crystalline BaYB2 at its relaxed geometry at the PBE-GGA level of DFT.

abc: 8.655 8.655 8.655
angles: 143.79 143.79 52.14
Positions (direct):
Ba 0.000 0.000 0.000
Ba 0.750 0.250 0.500
Y 0.250 0.750 0.500
Y 0.500 0.500 0.000
B 0.240 0.625 0.115
B 0.375 0.490 0.615
B 0.510 0.125 0.885
B 0.875 0.760 0.385

Most stable: version A (next structure +0.158 eV/atom)

Version A
Computed, not measured: crystalline BaYB3 at its relaxed geometry at the PBE-GGA level of DFT.

abc: 4.732 4.732 4.732
angles: 90.00 90.00 90.00
Positions (direct):
Ba 0.000 0.000 0.000
Y 0.500 0.500 0.500
B 0.000 0.000 0.500
B 0.000 0.500 0.000
B 0.500 0.000 0.000

Version B
Computed, not measured: crystalline BaYB3 at its relaxed geometry at the PBE-GGA level of DFT.

abc: 4.872 4.872 4.872
angles: 90.00 90.00 90.00
Positions (direct):
Ba 0.000 0.000 0.000
Y 0.500 0.500 0.500
B 0.000 0.500 0.500
B 0.500 0.000 0.500
B 0.500 0.500 0.000

Most stable: version B (next structure +0.787 eV/atom)

Version A
Computed, not measured: crystalline BaY3B at its relaxed geometry at the PBE-GGA level of DFT.

abc: 5.659 5.659 5.659
angles: 90.00 90.00 90.00
Positions (direct):
Ba 0.000 0.000 0.000
Y 0.000 0.000 0.500
Y 0.000 0.500 0.000
Y 0.500 0.000 0.000
B 0.500 0.500 0.500

Version B
Computed, not measured: crystalline BaY3B at its relaxed geometry at the PBE-GGA level of DFT.

abc: 5.324 5.324 5.324
angles: 90.00 90.00 90.00
Positions (direct):
Ba 0.000 0.000 0.000
Y 0.000 0.500 0.500
Y 0.500 0.000 0.500
Y 0.500 0.500 0.000
B 0.500 0.500 0.500

Most stable: version B (next structure +1.914 eV/atom)

Version A
Computed, not measured: crystalline BaY2B2 at its relaxed geometry at the PBE-GGA level of DFT.

abc: 6.754 6.754 6.754
angles: 139.02 139.02 59.34
Positions (direct):
Ba 0.000 0.000 0.000
Y 0.328 0.328 0.000
Y 0.672 0.672 0.000
B 0.250 0.750 0.500
B 0.750 0.250 0.500

Version B
Computed, not measured: crystalline BaY2B2 at its relaxed geometry at the PBE-GGA level of DFT.

abc: 8.059 8.059 3.215
angles: 90.00 90.00 90.00
Positions (direct):
Ba 0.000 0.000 0.000
Ba 0.500 0.500 0.000
Y 0.133 0.367 0.000
Y 0.367 0.867 0.000
Y 0.633 0.133 0.000
Y 0.867 0.633 0.000
B 0.169 0.669 0.500
B 0.331 0.169 0.500
B 0.669 0.831 0.500
B 0.831 0.331 0.500

Most stable: version A (next structure +0.217 eV/atom)